Record 1
DFT (PBE-GGA) results for a relaxed structure of HfFe2Re.

- energy of formation from the pure elements (eV per formula unit) = 1.8
- total energy (eV per atom) = -9.37
- SG = No. 122
- D(E_F) (states/eV per cell) = 10.29

Cell: 6.8663 6.8663 5.5354 Å, 51.67 51.67 90.00°
Last column: nearest neighbours and their distance in Å.
Sites, in units of the cell vectors:
Re 0.0000 0.0000 0.0000  4 Fe 2.39, 2 Hf 2.66
Re 0.7500 0.2500 0.5000  4 Fe 2.39, 2 Hf 2.66
Hf 0.5000 0.5000 0.0000  4 Fe 2.65, 2 Re 2.66
Hf 0.2500 0.7500 0.5000  4 Fe 2.65, 2 Re 2.66
Fe 0.6534 0.1250 0.2500  2 Re 2.39, 2 Hf 2.65
Fe 0.0966 0.6250 0.2500  2 Re 2.39, 2 Hf 2.65
Fe 0.3750 0.3466 0.7500  2 Re 2.39, 2 Hf 2.65
Fe 0.8750 0.9034 0.7500  2 Re 2.39, 2 Hf 2.65

***

Record 2
DFT (PBE-GGA) results for a relaxed structure of Hf4Fe3Re.

- energy of formation from the pure elements (eV per formula unit) = -2.6
- total energy (eV per atom) = -10.03
- SG = No. 123
- D(E_F) (states/eV per cell) = 2.98

Cell: 3.1747 3.1747 12.7180 Å, 90.00 90.00 90.00°
Last column: nearest neighbours and their distance in Å.
Sites, in units of the cell vectors:
Re 0.5000 0.5000 0.0000  8 Hf 2.79
Hf 0.0000 0.0000 0.8696  4 Fe 2.77, 4 Re 2.79
Hf 0.0000 0.0000 0.1304  4 Fe 2.77, 4 Re 2.79
Hf 0.0000 0.0000 0.3770  8 Fe 2.71-2.74
Hf 0.0000 0.0000 0.6230  8 Fe 2.71-2.74
Fe 0.5000 0.5000 0.2579  8 Hf 2.71-2.77
Fe 0.5000 0.5000 0.5000  8 Hf 2.74
Fe 0.5000 0.5000 0.7421  8 Hf 2.71-2.77

***

Record 3
DFT (PBE-GGA) results for a relaxed structure of HfFe4Re.

- energy of formation from the pure elements (eV per formula unit) = -0.7
- total energy (eV per atom) = -9.49
- SG = No. 216
- D(E_F) (states/eV per cell) = 8.25

Cell: 4.8287 4.8287 4.8287 Å, 60.00 60.00 60.00°
Last column: nearest neighbours and their distance in Å.
Sites, in units of the cell vectors:
Re 0.2500 0.2500 0.2500  12 Fe 2.83, 4 Hf 2.96
Hf 0.0000 0.0000 0.0000  12 Fe 2.83, 4 Re 2.96
Fe 0.6239 0.6239 0.1284  6 Fe 2.39-2.44
Fe 0.6239 0.1284 0.6239  6 Fe 2.39-2.44
Fe 0.6239 0.6239 0.6239  6 Fe 2.39-2.44
Fe 0.1284 0.6239 0.6239  6 Fe 2.39-2.44

***

Record 4
DFT (PBE-GGA) results for a relaxed structure of Hf2FeRe3.

- energy of formation from the pure elements (eV per formula unit) = -2.2
- total energy (eV per atom) = -11.32
- SG = No. 166
- D(E_F) (states/eV per cell) = 4.73

Cell: 5.2150 5.2150 5.2094 Å, 89.97 120.02 120.05°
Last column: nearest neighbours and their distance in Å.
Sites, in units of the cell vectors:
Hf 0.7520 0.3760 0.1281  9 Re 3.05-3.07, 3 Fe 3.06, 4 Hf 3.16-3.20
Hf 0.2480 0.6240 0.8719  9 Re 3.05-3.07, 3 Fe 3.06, 4 Hf 3.16-3.20
Fe 0.0000 0.0000 0.0000  6 Re 2.60-2.61
Re 0.5000 0.5000 0.5000  2 Fe 2.60, 4 Re 2.61
Re 0.0000 0.0000 0.5000  2 Fe 2.60, 4 Re 2.61
Re 0.5000 0.0000 0.5000  2 Fe 2.61, 4 Re 2.61

***

Record 5
DFT (PBE-GGA) results for a relaxed structure of HfFe3Re.

- energy of formation from the pure elements (eV per formula unit) = 5.4
- relative energy among the computed polymorphs (eV per formula unit) = 0.00
- total energy (eV per atom) = -8.47
- SG = No. 221
- D(E_F) (states/eV per cell) = 5.34

Cell: 4.4138 4.4138 4.4138 Å, 90.00 90.00 90.00°
Last column: nearest neighbours and their distance in Å.
Sites, in units of the cell vectors:
Re 0.0000 0.0000 0.0000  6 Fe 2.21
Hf 0.5000 0.5000 0.5000  12 Fe 3.12
Fe 0.0000 0.5000 0.0000  2 Re 2.21
Fe 0.0000 0.0000 0.5000  2 Re 2.21
Fe 0.5000 0.0000 0.0000  2 Re 2.21

***

Record 6
DFT (PBE-GGA) results for a relaxed structure of Hf3Fe2Re.

- energy of formation from the pure elements (eV per formula unit) = -1.9
- total energy (eV per atom) = -10.19
- SG = No. 123
- D(E_F) (states/eV per cell) = 4.01

Cell: 3.1883 3.1883 9.5791 Å, 90.00 90.00 90.00°
Last column: nearest neighbours and their distance in Å.
Sites, in units of the cell vectors:
Hf 0.0000 0.0000 0.0000  8 Fe 2.73
Hf 0.0000 0.0000 0.6730  4 Fe 2.77, 4 Re 2.80
Hf 0.0000 0.0000 0.3270  4 Fe 2.77, 4 Re 2.80
Fe 0.5000 0.5000 0.8402  8 Hf 2.73-2.77
Fe 0.5000 0.5000 0.1598  8 Hf 2.73-2.77
Re 0.5000 0.5000 0.5000  8 Hf 2.80

***

Record 7
DFT (PBE-GGA) results for a relaxed structure of Hf5Fe4Re.

- energy of formation from the pure elements (eV per formula unit) = -3.2
- total energy (eV per atom) = -9.93
- SG = No. 123
- D(E_F) (states/eV per cell) = 3.22

Cell: 3.1660 3.1660 15.8743 Å, 90.00 90.00 90.00°
Last column: nearest neighbours and their distance in Å.
Sites, in units of the cell vectors:
Hf 0.5000 0.5000 0.1046  4 Fe 2.77, 4 Re 2.79
Hf 0.5000 0.5000 0.3026  8 Fe 2.70-2.74
Hf 0.5000 0.5000 0.5000  8 Fe 2.72
Hf 0.5000 0.5000 0.6974  8 Fe 2.70-2.74
Hf 0.5000 0.5000 0.8954  4 Fe 2.77, 4 Re 2.79
Fe 0.0000 0.0000 0.2076  8 Hf 2.70-2.77
Fe 0.0000 0.0000 0.4024  8 Hf 2.72-2.74
Fe 0.0000 0.0000 0.5976  8 Hf 2.72-2.74
Fe 0.0000 0.0000 0.7924  8 Hf 2.70-2.77
Re 0.0000 0.0000 0.0000  8 Hf 2.79

***

Record 8
DFT (PBE-GGA) results for a relaxed structure of Hf4FeRe.

- energy of formation from the pure elements (eV per formula unit) = -0.8
- total energy (eV per atom) = -10.25
- SG = No. 15
- D(E_F) (states/eV per cell) = 11.08

Cell: 5.5562 7.1496 7.2798 Å, 114.41 106.34 101.77°
Last column: nearest neighbours and their distance in Å.
Sites, in units of the cell vectors:
Hf 0.0197 0.2296 0.8690  2 Fe 2.59-2.64, 1 Re 2.73
Hf 0.7915 0.6999 0.6451  2 Fe 2.69-2.70, 2 Re 2.77-2.78
Hf 0.3493 0.6394 0.8690  2 Fe 2.59-2.64, 1 Re 2.73
Hf 0.3536 0.9452 0.6451  2 Fe 2.69-2.70, 2 Re 2.77-2.78
Hf 0.6464 0.0548 0.3549  2 Fe 2.69-2.70, 2 Re 2.77-2.78
Hf 0.6507 0.3606 0.1310  2 Fe 2.59-2.64, 1 Re 2.73
Hf 0.2085 0.3001 0.3549  2 Fe 2.69-2.70, 2 Re 2.77-2.78
Hf 0.9803 0.7704 0.1310  2 Fe 2.59-2.64, 1 Re 2.73
Fe 0.2496 0.9996 0.9992  8 Hf 2.59-2.70, 2 Fe 2.78
Fe 0.7504 0.0004 0.0008  8 Hf 2.59-2.70, 2 Fe 2.78
Re 0.3866 0.6366 0.2732  8 Hf 2.73-2.90
Re 0.6134 0.3634 0.7268  8 Hf 2.73-2.90